No. 1
Entry from the Alexandria database: an optimized crystal structure of Mn21Tc2C6 (GGA-PBE).

Unit cell a=7.381 b=7.381 c=7.381 alpha=60.00 beta=60.00 gamma=60.00
Each line ends with the local moment (μB).
Fractional coordinates of all 29 atoms:
Mn: 0.000 0.000 0.000  2.06
Mn: 0.617 0.617 0.150  1.03
Mn: 0.617 0.617 0.617  1.03
Mn: 0.617 0.150 0.617  1.03
Mn: 0.150 0.617 0.617  1.03
Mn: 0.383 0.383 0.850  1.03
Mn: 0.383 0.383 0.383  1.03
Mn: 0.383 0.850 0.383  1.03
Mn: 0.850 0.383 0.383  1.03
Mn: 0.662 0.000 0.338  0.57
Mn: 0.000 0.662 0.338  0.57
Mn: 0.000 0.000 0.338  0.57
Mn: 0.000 0.662 0.000  0.57
Mn: 0.662 0.000 0.000  0.57
Mn: 0.000 0.000 0.662  0.57
Mn: 0.000 0.338 0.000  0.57
Mn: 0.000 0.338 0.662  0.57
Mn: 0.662 0.338 0.000  0.57
Mn: 0.338 0.000 0.662  0.57
Mn: 0.338 0.000 0.000  0.57
Mn: 0.338 0.662 0.000  0.57
Tc: 0.750 0.750 0.750  -0.40
Tc: 0.250 0.250 0.250  -0.40
C: 0.274 0.726 0.274  -0.05
C: 0.726 0.274 0.274  -0.05
C: 0.726 0.726 0.274  -0.05
C: 0.726 0.274 0.726  -0.05
C: 0.274 0.726 0.726  -0.05
C: 0.274 0.274 0.726  -0.05

Properties
**ΔE_f**: -2.70 eV/f.u.

***

No. 2
Entry from the Alexandria database: an optimized crystal structure of TaMn2Tc (GGA-PBE).

Unit cell a=4.250 b=4.250 c=4.250 alpha=60.00 beta=60.00 gamma=60.00
Fractional coordinates of all 4 atoms:
Mn: 0.250 0.250 0.250
Mn: 0.750 0.750 0.750
Tc: 0.000 0.000 0.000
Ta: 0.500 0.500 0.500

Properties
**ΔE_f**: 0.21 eV/f.u.

***

No. 3
Entry from the Alexandria database: an optimized crystal structure of FeSeS2N (GGA-PBE).

Unit cell a=4.872 b=4.872 c=3.640 alpha=90.00 beta=90.00 gamma=90.00
Each line ends with the local moment (μB).
Fractional coordinates of all 5 atoms:
S: 0.000 0.500 0.000  0.17
S: 0.500 0.000 0.000  0.17
Fe: 0.500 0.500 0.500  3.49
Se: 0.000 0.000 0.000  -0.03
N: 0.000 0.000 0.500  0.30

Properties
**Uncorrected formation energy**: 1275 meV/atom